No. 1
Material: RbSnS2
Method: DFT, PBE-GGA
State: relaxed

Geometry as POSCAR:
```
RbSnS2
1.0
9.498 0.000 0.000
0.000 7.195 0.000
0.000 0.000 15.769
Rb Sn S
8 8 16
Cartesian
0.134 1.799 2.092 Rb
1.579 5.397 4.937 Rb
3.171 1.799 12.821 Rb
4.615 5.397 9.977 Rb
4.883 1.799 5.792 Rb
6.328 5.397 2.948 Rb
7.920 1.799 10.832 Rb
9.365 5.397 13.676 Rb
0.905 5.397 8.568 Sn
2.338 5.397 1.201 Sn
2.411 1.799 9.086 Sn
3.844 1.799 0.683 Sn
5.655 5.397 15.085 Sn
7.087 5.397 6.683 Sn
7.160 1.799 14.567 Sn
8.593 1.799 7.201 Sn
0.000 1.799 14.334 S
9.498 5.397 1.434 S
1.410 3.643 10.377 S
1.410 7.150 10.377 S
1.653 1.799 6.770 S
3.097 5.397 14.654 S
3.339 0.045 2.492 S
3.339 3.552 2.492 S
4.749 1.799 9.319 S
4.749 5.397 6.450 S
6.159 3.643 13.276 S
6.159 7.150 13.276 S
6.402 1.799 1.114 S
7.846 5.397 8.999 S
8.088 0.045 5.392 S
8.088 3.552 5.392 S
```

DFT total energy, eV per atom: -4.122
Calculated density, Mg/m³: 3.3


No. 2
Material: CsGa2Ag
Method: DFT, PBE-GGA
State: relaxed

Geometry as POSCAR:
```
CsGa2Ag
1.0
4.596 0.000 0.000
-2.298 3.981 0.000
0.000 0.000 20.552
Cs Ga Ag
3 6 3
Cartesian
0.000 0.000 0.000 Cs
0.000 2.654 13.701 Cs
2.298 1.327 6.851 Cs
0.000 0.000 3.996 Ga
0.000 0.000 10.073 Ga
0.000 2.654 3.222 Ga
0.000 2.654 17.698 Ga
2.298 1.327 10.847 Ga
2.298 1.327 16.923 Ga
0.000 0.000 16.714 Ag
0.000 2.654 9.863 Ag
2.298 1.327 3.012 Ag
```

DFT total energy, eV per atom: -2.501
Calculated density, Mg/m³: 5.0
Energy of formation, eV per atom: -0.06


No. 3
Material: NdTh2Zr
Method: DFT, PBE-GGA
State: relaxed

Geometry as POSCAR:
```
NdTh2Zr
1.0
7.825 0.000 0.000
0.000 7.825 0.000
0.000 0.000 7.825
Nd Th Zr
4 8 4
Cartesian
0.000 0.000 0.000 Nd
0.000 3.912 3.912 Nd
3.912 0.000 3.912 Nd
3.912 3.912 0.000 Nd
1.956 1.956 1.956 Th
1.956 1.956 5.869 Th
1.956 5.869 1.956 Th
1.956 5.869 5.869 Th
5.869 1.956 1.956 Th
5.869 1.956 5.869 Th
5.869 5.869 1.956 Th
5.869 5.869 5.869 Th
0.000 0.000 3.912 Zr
0.000 3.912 0.000 Zr
3.912 0.000 0.000 Zr
3.912 3.912 3.912 Zr
```

DFT total energy, eV per atom: -6.858
Calculated density, Mg/m³: 9.7
Energy of formation, eV per atom: 0.18
Energy above the most stable polymorph in this dataset, meV per atom: 75


No. 4
Material: La2MgPtO
Method: DFT, PBE-GGA
State: relaxed

Geometry as POSCAR:
```
La2MgPtO
1.0
5.068 0.000 0.000
0.000 5.068 0.000
0.000 0.000 4.153
La Mg Pt O
2 1 1 1
Cartesian
0.000 2.534 0.000 La
2.534 0.000 0.000 La
0.000 0.000 2.076 Mg
2.534 2.534 2.076 Pt
0.000 0.000 0.000 O
```

DFT total energy, eV per atom: -5.957
Calculated density, Mg/m³: 8.0


Number 1: total moment 0.00 μB/cell, volume 33.68 A^3/atom. Number 2: total moment 0.00 μB/cell, volume 31.33 A^3/atom. Number 3: total moment 0.00 μB/cell, volume 29.94 A^3/atom. Number 4: total moment 0.00 μB/cell, volume 21.34 A^3/atom.